No. 1
{
  "formula": "Fe2CuIr",
  "functional": "GGA-PBE",
  "state": "relaxed",
  "lattice_angstrom": [[2.646, 0.000, 0.000], [0.000, 4.233, 0.000], [0.000, 0.000, 4.518]],
  "species": ["Fe", "Fe", "Cu", "Ir"],
  "frac_coords": [[0.000, 0.000, 0.000], [0.000, 0.500, 0.341], [0.500, 0.000, 0.493], [0.500, 0.500, 0.841]],
  "energy_ev_per_atom": -7.43,
  "m_tot_mub_per_fu": 5.3,
  "sg": "No. 25"
}

No. 2
{
  "formula": "Fe2CuIr",
  "functional": "GGA-PBE",
  "state": "relaxed",
  "lattice_angstrom": [[2.632, 0.000, 0.000], [0.000, 3.727, 0.000], [-0.017, 0.000, 5.166]],
  "species": ["Fe", "Fe", "Cu", "Ir"],
  "frac_coords": [[0.000, 0.000, 0.250], [0.000, 0.000, 0.750], [0.500, 0.500, 0.000], [0.500, 0.500, 0.500]],
  "energy_ev_per_atom": -7.42,
  "m_tot_mub_per_fu": 5.3,
  "sg": "No. 10"
}

No. 3
{
  "formula": "Fe2CuIr",
  "functional": "GGA-PBE",
  "state": "relaxed",
  "lattice_angstrom": [[1.322, 0.764, 8.528], [-1.322, 0.764, 8.528], [0.000, -1.527, 8.528]],
  "species": ["Fe", "Fe", "Cu", "Ir"],
  "frac_coords": [[0.000, 0.000, 0.000], [0.252, 0.252, 0.252], [0.504, 0.504, 0.504], [0.750, 0.750, 0.750]],
  "energy_ev_per_atom": -7.37,
  "m_tot_mub_per_fu": 5.5,
  "sg": "No. 160"
}

No. 4
{
  "formula": "FeCu4Ir",
  "functional": "GGA-PBE",
  "state": "relaxed",
  "lattice_angstrom": [[0.000, 3.347, 3.347], [3.347, 0.000, 3.347], [3.347, 3.347, 0.000]],
  "species": ["Fe", "Cu", "Cu", "Cu", "Cu", "Ir"],
  "frac_coords": [[0.000, 0.000, 0.000], [0.125, 0.625, 0.625], [0.625, 0.125, 0.625], [0.625, 0.625, 0.125], [0.625, 0.625, 0.625], [0.250, 0.250, 0.250]],
  "energy_ev_per_atom": -5.44,
  "m_tot_mub_per_fu": 3.3,
  "sg": "No. 216"
}